Entry 1:
Material: Ba2GeS
Method: DFT, PBE
State: relaxed

a = 5.669 Å, b = 5.669 Å, c = 5.669 Å
α = 60.00°, β = 60.00°, γ = 60.00°
Sites, in units of the cell vectors:
1 Ba 0.250 0.250 0.250
2 Ba 0.750 0.750 0.750
3 Ge 0.000 0.000 0.000
4 S 0.500 0.500 0.500

Calculated values
Its energy above the lowest structure with this stoichiometry is 25.9 meV per atom. The value obtained for the size of the total moment is 2.0 Bohr magnetons per cell. The value obtained for the density of states at the Fermi level is 2.72 states/eV per cell.

***

Entry 2:
Material: BaGe2S
Method: DFT, PBE
State: relaxed

a = 6.728 Å, b = 6.728 Å, c = 6.728 Å
α = 102.76°, β = 102.76°, γ = 123.95°
Sites, in units of the cell vectors:
1 Ba 0.000 0.000 0.000
2 Ba 0.750 0.250 0.500
3 Ge 0.220 0.125 0.595
4 Ge 0.375 0.780 0.905
5 Ge 0.530 0.625 0.405
6 Ge 0.875 0.470 0.095
7 S 0.250 0.750 0.500
8 S 0.500 0.500 0.000

Calculated values
The total energy is -4.007 eV/atom. The value obtained for the size of the total moment is 0.0 Bohr magnetons per cell. The value obtained for the density of states at the Fermi level is 5.61 states/eV per cell.

***

Entry 3:
Material: Ba2GeS4
Method: DFT, PBE
State: relaxed

a = 9.033 Å, b = 6.899 Å, c = 12.741 Å
α = 90.00°, β = 90.00°, γ = 90.00°
Sites, in units of the cell vectors:
1 Ba 0.015 0.250 0.170
2 Ba 0.124 0.750 0.429
3 Ba 0.376 0.250 0.929
4 Ba 0.485 0.750 0.670
5 Ba 0.515 0.250 0.330
6 Ba 0.624 0.750 0.071
7 Ba 0.876 0.250 0.571
8 Ba 0.985 0.750 0.830
9 Ge 0.225 0.750 0.075
10 Ge 0.275 0.250 0.575
11 Ge 0.725 0.750 0.425
12 Ge 0.775 0.250 0.925
13 S 0.019 0.250 0.911
14 S 0.176 0.513 0.647
15 S 0.176 0.987 0.647
16 S 0.186 0.250 0.411
17 S 0.314 0.750 0.911
18 S 0.324 0.013 0.147
19 S 0.324 0.487 0.147
20 S 0.481 0.750 0.411
21 S 0.519 0.250 0.589
22 S 0.676 0.513 0.853
23 S 0.676 0.987 0.853
24 S 0.686 0.250 0.089
25 S 0.814 0.750 0.589
26 S 0.824 0.013 0.353
27 S 0.824 0.487 0.353
28 S 0.981 0.750 0.089

Calculated values
Its energy above the lowest structure with this stoichiometry is 22.4 meV per atom. The value obtained for the size of the total moment is 0.0 Bohr magnetons per cell. The value obtained for the density of states at the Fermi level is 0.00 states/eV per cell.

***

Entry 4:
Material: BaGeS2
Method: DFT, PBE
State: relaxed

a = 4.863 Å, b = 7.434 Å, c = 8.445 Å
α = 64.92°, β = 88.50°, γ = 88.87°
Sites, in units of the cell vectors:
1 Ba 0.246 0.465 0.260
2 Ba 0.754 0.535 0.740
3 Ge 0.028 0.016 0.842
4 Ge 0.972 0.984 0.158
5 S 0.244 0.744 0.843
6 S 0.268 0.291 0.675
7 S 0.732 0.709 0.325
8 S 0.756 0.256 0.157

Calculated values
The total energy is -4.804 eV/atom. The value obtained for the size of the total moment is 0.0 Bohr magnetons per cell.

***

Repeat the second record exactly.
Material: BaGe2S
Method: DFT, PBE
State: relaxed

a = 6.728 Å, b = 6.728 Å, c = 6.728 Å
α = 102.76°, β = 102.76°, γ = 123.95°
Sites, in units of the cell vectors:
1 Ba 0.000 0.000 0.000
2 Ba 0.750 0.250 0.500
3 Ge 0.220 0.125 0.595
4 Ge 0.375 0.780 0.905
5 Ge 0.530 0.625 0.405
6 Ge 0.875 0.470 0.095
7 S 0.250 0.750 0.500
8 S 0.500 0.500 0.000

Calculated values
The total energy is -4.007 eV/atom. The value obtained for the size of the total moment is 0.0 Bohr magnetons per cell. The value obtained for the density of states at the Fermi level is 5.61 states/eV per cell.

***

Number 3 is which compound? Ba2GeS4

***

Among the records above, which one has the highest size of the total moment? Ba2GeS